Record 1
The following is a DFT calculation (PBE-GGA) of a relaxed structure of PmPrThN3.

For the formation energy (no corrections), the calculation gives -127.34 kJ per mole of atoms. The value obtained for the density of states at the Fermi level is 0.525 states/eV/atom. The value obtained for the electronic total energy is -8.31 eV per atom.

Structure (CIF):
```
data_PmPrThN3
_space_group_name_H-M_alt 'P 1 21/m 1'
_space_group_IT_number 11
_space_group_name_Hall '-P 2yb'
_cell_length_a 6.251
_cell_length_b 3.622
_cell_length_c 9.398
_cell_angle_alpha 90.00
_cell_angle_beta 101.48
_cell_angle_gamma 90.00
loop_
_atom_site_label
_atom_site_type_symbol
_atom_site_fract_x
_atom_site_fract_y
_atom_site_fract_z
_atom_site_occupancy
Pm1 Pm 0.151 0.250 0.137 1
Pr1 Pr 0.343 0.250 0.809 1
Th1 Th 0.235 0.750 0.453 1
N1 N 0.038 0.750 0.646 1
N2 N 0.250 0.750 0.996 1
N3 N 0.457 0.250 0.346 1
```


Record 2
The following is a DFT calculation (PBE-GGA) of a relaxed structure of Ac4H2Ir.

The value obtained for the density of states at the Fermi level is 0.959 states/eV/atom. The value obtained for the electronic total energy is -4.83 eV per atom.

Structure (CIF):
```
data_Ac4H2Ir
_space_group_name_H-M_alt 'I 4/m m m'
_space_group_IT_number 139
_space_group_name_Hall '-I 4 2'
_cell_length_a 5.775
_cell_length_b 5.775
_cell_length_c 13.136
_cell_angle_alpha 90.00
_cell_angle_beta 90.00
_cell_angle_gamma 90.00
loop_
_atom_site_label
_atom_site_type_symbol
_atom_site_fract_x
_atom_site_fract_y
_atom_site_fract_z
_atom_site_occupancy
Ac1 Ac 0.000 0.000 0.235 1
Ac2 Ac 0.000 0.500 0.000 1
H1 H 0.000 0.000 0.423 1
Ir1 Ir 0.000 0.000 0.000 1
```


Record 3
The following is a DFT calculation (PBE-GGA) of a relaxed structure of AlGe2As.

The value obtained for the density of states at the Fermi level is 0.683 states/eV/atom. As for the formation energy: 0.312 eV/atom. The value obtained for the electronic total energy is -4.09 eV per atom.

Structure (CIF):
```
data_AlGe2As
_space_group_name_H-M_alt 'F m -3 m'
_space_group_IT_number 225
_space_group_name_Hall '-F 4 2 3'
_cell_length_a 6.713
_cell_length_b 6.713
_cell_length_c 6.713
_cell_angle_alpha 90.00
_cell_angle_beta 90.00
_cell_angle_gamma 90.00
loop_
_atom_site_label
_atom_site_type_symbol
_atom_site_fract_x
_atom_site_fract_y
_atom_site_fract_z
_atom_site_occupancy
Al1 Al 0.000 0.000 0.000 1
Ge1 Ge 0.250 0.250 0.250 1
As1 As 0.000 0.000 0.500 1
```


Record 4
The following is a DFT calculation (PBE-GGA) of a relaxed structure of MnIn2Re.

The value obtained for the density of states at the Fermi level is 0.792 states/eV/atom. As for the formation energy: 0.501 eV/atom. The value obtained for the electronic total energy is -6.27 eV per atom.

Structure (CIF):
```
data_MnIn2Re
_space_group_name_H-M_alt 'P 4/m m m'
_space_group_IT_number 123
_space_group_name_Hall '-P 4 2'
_cell_length_a 4.142
_cell_length_b 4.142
_cell_length_c 4.116
_cell_angle_alpha 90.00
_cell_angle_beta 90.00
_cell_angle_gamma 90.00
loop_
_atom_site_label
_atom_site_type_symbol
_atom_site_fract_x
_atom_site_fract_y
_atom_site_fract_z
_atom_site_occupancy
Mn1 Mn 0.000 0.000 0.000 1
In1 In 0.000 0.500 0.500 1
Re1 Re 0.500 0.500 0.000 1
```


Record 5
The following is a DFT calculation (PBE-GGA) of a relaxed structure of NaNd2Pb3Se6.

For the formation energy (no corrections), the calculation gives -105.43 kJ per mole of atoms. The value obtained for the density of states at the Fermi level is 0.276 states/eV/atom. The value obtained for the electronic total energy is -4.67 eV per atom.

Structure (CIF):
```
data_NaNd2Pb3Se6
_space_group_name_H-M_alt 'C 1 2/m 1'
_space_group_IT_number 12
_space_group_name_Hall '-C 2y'
_cell_length_a 18.921
_cell_length_b 4.404
_cell_length_c 8.613
_cell_angle_alpha 90.00
_cell_angle_beta 103.52
_cell_angle_gamma 90.00
loop_
_atom_site_label
_atom_site_type_symbol
_atom_site_fract_x
_atom_site_fract_y
_atom_site_fract_z
_atom_site_occupancy
Na1 Na 0.000 0.000 0.000 1
Nd1 Nd 0.165 0.500 0.330 1
Pb1 Pb 0.000 0.000 0.500 1
Pb2 Pb 0.160 0.500 0.849 1
Se1 Se 0.007 0.500 0.250 1
Se2 Se 0.170 0.000 0.575 1
Se3 Se 0.171 0.000 0.094 1
```


Record 6
The following is a DFT calculation (PBE-GGA) of a relaxed structure of AgBi2Pb9.

The value obtained for the density of states at the Fermi level is 0.806 states/eV/atom. As for the formation energy: 0.053 eV/atom. The value obtained for the electronic total energy is -3.61 eV per atom.

Structure (CIF):
```
data_AgBi2Pb9
_space_group_name_H-M_alt 'P 4/m m m'
_space_group_IT_number 123
_space_group_name_Hall '-P 4 2'
_cell_length_a 5.041
_cell_length_b 5.041
_cell_length_c 14.497
_cell_angle_alpha 90.00
_cell_angle_beta 90.00
_cell_angle_gamma 90.00
loop_
_atom_site_label
_atom_site_type_symbol
_atom_site_fract_x
_atom_site_fract_y
_atom_site_fract_z
_atom_site_occupancy
Ag1 Ag 0.000 0.000 0.000 1
Bi1 Bi 0.000 0.000 0.326 1
Pb1 Pb 0.000 0.500 0.155 1
Pb2 Pb 0.000 0.500 0.500 1
Pb3 Pb 0.500 0.500 0.000 1
Pb4 Pb 0.500 0.500 0.326 1
```


Record 7
The following is a DFT calculation (PBE-GGA) of a relaxed structure of In2FeP.

The value obtained for the density of states at the Fermi level is 0.657 states/eV/atom. As for the formation energy: 0.425 eV/atom. The value obtained for the electronic total energy is -4.41 eV per atom.

Structure (CIF):
```
data_In2FeP
_space_group_name_H-M_alt 'C m m m'
_space_group_IT_number 65
_space_group_name_Hall '-C 2 2'
_cell_length_a 6.414
_cell_length_b 7.935
_cell_length_c 2.929
_cell_angle_alpha 90.00
_cell_angle_beta 90.00
_cell_angle_gamma 90.00
loop_
_atom_site_label
_atom_site_type_symbol
_atom_site_fract_x
_atom_site_fract_y
_atom_site_fract_z
_atom_site_occupancy
In1 In 0.250 0.250 0.000 1
Fe1 Fe 0.000 0.000 0.500 1
P1 P 0.000 0.500 0.500 1
```


Record 8
The following is a DFT calculation (PBE-GGA) of a relaxed structure of InRu3.

The value obtained for the density of states at the Fermi level is 0.484 states/eV/atom. As for the formation energy: 0.200 eV/atom. The value obtained for the electronic total energy is -7.44 eV per atom.

Structure (CIF):
```
data_InRu3
_space_group_name_H-M_alt 'P -6 m 2'
_space_group_IT_number 187
_space_group_name_Hall 'P -6 2'
_cell_length_a 2.8471
_cell_length_b 2.8471
_cell_length_c 8.8157
_cell_angle_alpha 90.00
_cell_angle_beta 90.00
_cell_angle_gamma 120.00
loop_
_atom_site_label
_atom_site_type_symbol
_atom_site_fract_x
_atom_site_fract_y
_atom_site_fract_z
_atom_site_occupancy
In1 In 0.0000 0.0000 0.0000 1
Ru1 Ru 0.0000 0.0000 0.5000 1
Ru2 Ru 0.6667 0.3333 0.2675 1
```


Record 9
The following is a DFT calculation (PBE-GGA) of a relaxed structure of Te2OsRh.

For the formation energy (no corrections), the calculation gives 68.01 kJ per mole of atoms. The value obtained for the density of states at the Fermi level is 1.400 states/eV/atom. The value obtained for the electronic total energy is -5.51 eV per atom.

Structure (CIF):
```
data_Te2OsRh
_space_group_name_H-M_alt 'C 1 2/m 1'
_space_group_IT_number 12
_space_group_name_Hall '-C 2y'
_cell_length_a 6.029
_cell_length_b 8.381
_cell_length_c 4.464
_cell_angle_alpha 90.00
_cell_angle_beta 132.31
_cell_angle_gamma 90.00
loop_
_atom_site_label
_atom_site_type_symbol
_atom_site_fract_x
_atom_site_fract_y
_atom_site_fract_z
_atom_site_occupancy
Te1 Te 0.250 0.250 0.000 1
Os1 Os 0.000 0.000 0.500 1
Rh1 Rh 0.000 0.500 0.500 1
```


Record 10
The following is a DFT calculation (PBE-GGA) of a relaxed structure of RbCa2ZnNi.

The value obtained for the density of states at the Fermi level is 0.596 states/eV/atom. As for the formation energy: 0.085 eV/atom. The value obtained for the electronic total energy is -2.32 eV per atom.

Structure (CIF):
```
data_RbCa2ZnNi
_space_group_name_H-M_alt 'P 4/m m m'
_space_group_IT_number 123
_space_group_name_Hall '-P 4 2'
_cell_length_a 5.579
_cell_length_b 5.579
_cell_length_c 5.001
_cell_angle_alpha 90.00
_cell_angle_beta 90.00
_cell_angle_gamma 90.00
loop_
_atom_site_label
_atom_site_type_symbol
_atom_site_fract_x
_atom_site_fract_y
_atom_site_fract_z
_atom_site_occupancy
Rb1 Rb 0.000 0.000 0.000 1
Ca1 Ca 0.000 0.500 0.500 1
Zn1 Zn 0.500 0.500 0.000 1
Ni1 Ni 0.500 0.500 0.500 1
```


Record 11
The following is a DFT calculation (PBE-GGA) of a relaxed structure of Cu3Pd2Au4.

The value obtained for the density of states at the Fermi level is 0.801 states/eV/atom. As for the formation energy: 0.030 eV/atom. The value obtained for the electronic total energy is -3.95 eV per atom.

Structure (CIF):
```
data_Cu3Pd2Au4
_space_group_name_H-M_alt 'P 3 m 1'
_space_group_IT_number 156
_space_group_name_Hall 'P 3 -2"'
_cell_length_a 2.8420
_cell_length_b 2.8420
_cell_length_c 20.5316
_cell_angle_alpha 90.00
_cell_angle_beta 90.00
_cell_angle_gamma 120.00
loop_
_atom_site_label
_atom_site_type_symbol
_atom_site_fract_x
_atom_site_fract_y
_atom_site_fract_z
_atom_site_occupancy
Cu1 Cu 0.0000 0.0000 0.0000 1
Cu2 Cu 0.0000 0.0000 0.3405 1
Cu3 Cu 0.6667 0.3333 0.6764 1
Pd1 Pd 0.6667 0.3333 0.1004 1
Pd2 Pd 0.6667 0.3333 0.8991 1
Au1 Au 0.0000 0.0000 0.5710 1
Au2 Au 0.0000 0.0000 0.7821 1
Au3 Au 0.6667 0.3333 0.2350 1
Au4 Au 0.6667 0.3333 0.4456 1
```


Record 12
The following is a DFT calculation (PBE-GGA) of a relaxed structure of Cs2KNaH.

The value obtained for the density of states at the Fermi level is 0.751 states/eV/atom. The value obtained for the electronic total energy is -1.51 eV per atom.

Structure (CIF):
```
data_Cs2KNaH
_space_group_name_H-M_alt 'P 4/m m m'
_space_group_IT_number 123
_space_group_name_Hall '-P 4 2'
_cell_length_a 6.606
_cell_length_b 6.606
_cell_length_c 6.021
_cell_angle_alpha 90.00
_cell_angle_beta 90.00
_cell_angle_gamma 90.00
loop_
_atom_site_label
_atom_site_type_symbol
_atom_site_fract_x
_atom_site_fract_y
_atom_site_fract_z
_atom_site_occupancy
Cs1 Cs 0.000 0.500 0.000 1
K1 K 0.000 0.000 0.500 1
Na1 Na 0.500 0.500 0.500 1
H1 H 0.000 0.000 0.000 1
```